A relaxed Y2TeSe crystal, computed with PBEsol.

- energy above the most stable polymorph in this dataset (eV per formula unit) = 0.00
- E_form (uncorrected) (eV per atom) = -1.633
- density of states at the Fermi level (states/eV/f.u.) = 1.54

Cell and atoms, written as extended XYZ:
```
4
Lattice="4.1402 0.0000 0.0000 2.0701 3.5855 0.0000 2.0701 1.1952 6.8845" Properties=species:S:1:pos:R:3 pbc="T T T"
Y 2.0701 1.1952 1.4754
Y 6.2103 3.5855 5.4091
Se 0.0000 0.0000 0.0000
Te 4.1402 2.3904 3.4423
```